Here is an optimized crystal structure of CdCoSb2 from Alexandria. Energies are from PBE.

a = 3.1454 Å, b = 4.6307 Å, c = 12.1735 Å
α = 90.00°, β = 90.00°, γ = 90.00°
With the nearest neighbours (Å) after each atom.
Space group Immm (No. 71)
Asymmetric unit:
Cd1 0.0000 0.0000 0.0000  4 Co 2.80, 4 Sb 3.10
Co1 0.0000 0.0000 0.5000  4 Sb 2.59, 4 Cd 2.80
Sb1 0.0000 0.5000 0.1694  2 Co 2.59

Electronic total energy in eV/atom: -3.985
Total magnetic moment in μB per cell: 0.00
Uncorrected formation energy in kJ/mol of formula units: 31